# Zn2SiBiAu

A relaxed Zn2SiBiAu crystal (GGA-PBEsol, Alexandria via LeMat-Bulk).

Cell lengths 5.188, 5.188, 5.293 Å; angles 90.00, 90.00, 90.00 degrees
Atoms (fractional coordinates):
Si1 0.500 0.500 0.500
Zn1 0.500 0.000 0.000
Au1 0.000 0.000 0.500
Zn2 0.000 0.500 0.000
Bi1 0.000 0.000 0.000

**Raw total energy**: -2.27 eV per atom
**V**: 28.491 Å³ per atom
**Raw formation energy**: 1.16 eV/atom
**Mass density**: 6.6 Mg/m³